AgPAu2 after structural relaxation, computed with GGA-PBE.

Calculated values
SG: Pmmm, No. 47
crystal system: orthorhombic
formation enthalpy at 0 K: 0.2356 eV/atom
DFT total energy: -13.87 eV for the cell shown

abc: 3.029 3.734 6.152
angles: 90.00 90.00 90.00
Fractional positions:
Ag: 0.000 0.000 0.000
P: 0.000 0.000 0.500
Au: 0.500 0.500 0.264
Au: 0.500 0.500 0.736